No. 1
Entry from Alexandria via LeMat-Bulk: crystalline YRhF3 at its relaxed geometry (PBE-GGA).

Its uncorrected formation energy is -2.24 eV per atom. For the density of states at the Fermi level, the calculation gives 1.142 states/eV per atom. The value obtained for the total magnetic moment is 1.298 Bohr magnetons per cell.

Lattice parameters (Å, degrees): 4.428 4.428 4.428 90.00 90.00 90.00
Positions (direct):
Y  0.000  0.000  0.000
Rh  0.500  0.500  0.500
F  0.000  0.000  0.500
F  0.000  0.500  0.000
F  0.500  0.000  0.000

***

No. 2
Entry from Alexandria via LeMat-Bulk: crystalline Cu6PdAu at its relaxed geometry (PBE-GGA).

For the energy of formation from the pure elements, the calculation gives -0.08 eV/atom. For the density of states at the Fermi level, the calculation gives 0.206 states/eV per atom. The value obtained for the total magnetic moment is 0.000 Bohr magnetons per cell.

Lattice parameters (Å, degrees): 3.762 3.762 7.450 90.00 90.00 90.00
Positions (direct):
Cu  0.000  0.000  0.000
Cu  0.000  0.000  0.500
Cu  0.000  0.500  0.245
Cu  0.000  0.500  0.755
Cu  0.500  0.000  0.245
Cu  0.500  0.000  0.755
Pd  0.500  0.500  0.000
Au  0.500  0.500  0.500

***

No. 3
Entry from Alexandria via LeMat-Bulk: crystalline MnSn3Se at its relaxed geometry (PBE-GGA).

Its uncorrected formation energy is 0.07 eV per atom. For the density of states at the Fermi level, the calculation gives 1.168 states/eV per atom. The value obtained for the total magnetic moment is 0.999 Bohr magnetons per cell.

Lattice parameters (Å, degrees): 4.995 4.995 4.995 90.00 90.00 90.00
Positions (direct):
Mn  0.000  0.000  0.000
Sn  0.000  0.000  0.500
Sn  0.000  0.500  0.000
Sn  0.500  0.000  0.000
Se  0.500  0.500  0.500